DFT (PBE-GGA) results for crystalline Rb4NaTh3Se8 at its relaxed geometry.

Cell and atoms, written as CIF:
```
data_Rb4NaTh3Se8
_chemical_formula_sum 'Rb12 Na3 Th9 Se24'
_symmetry_space_group_name_H-M 'R -3 m'
_symmetry_Int_Tables_number 166
_symmetry_space_group_name_Hall '-R 3 2"'
_cell_length_a 8.7648
_cell_length_b 8.7648
_cell_length_c 23.9492
_cell_angle_alpha 90.00
_cell_angle_beta 90.00
_cell_angle_gamma 120.00
loop_
_atom_site_label
_atom_site_type_symbol
_atom_site_fract_x
_atom_site_fract_y
_atom_site_fract_z
Rb1 Rb 0.0000 0.0000 0.0000
Rb2 Rb 0.0000 0.5000 0.0000
Na1 Na 0.0000 0.0000 0.5000
Th1 Th 0.0000 0.5000 0.5000
Se1 Se 0.0000 0.0000 0.2339
Se2 Se 0.0155 0.5078 0.7670
```

## Properties
- size of the total moment (μB/atom) = 0.001

---

DFT (PBE-GGA) results for crystalline RbNaThSe3 at its relaxed geometry.

Cell and atoms, written as CIF:
```
data_RbNaThSe3
_chemical_formula_sum 'Rb2 Na2 Th2 Se6'
_symmetry_space_group_name_H-M 'P 1 21/m 1'
_symmetry_Int_Tables_number 11
_symmetry_space_group_name_Hall '-P 2yb'
_cell_length_a 8.5163
_cell_length_b 4.4304
_cell_length_c 11.2593
_cell_angle_alpha 90.00
_cell_angle_beta 101.35
_cell_angle_gamma 90.00
loop_
_atom_site_label
_atom_site_type_symbol
_atom_site_fract_x
_atom_site_fract_y
_atom_site_fract_z
Rb1 Rb 0.1107 0.2500 0.1693
Na1 Na 0.1800 0.7500 0.5398
Th1 Th 0.3868 0.2500 0.8260
Se1 Se 0.0775 0.2500 0.6778
Se2 Se 0.3030 0.7500 0.9866
Se3 Se 0.4980 0.7500 0.6998
```

## Properties
- size of the total moment (μB/atom) = 0.000

---

DFT (PBE-GGA) results for crystalline Rb2Na2ThSe4 at its relaxed geometry.

Cell and atoms, written as CIF:
```
data_Rb2Na2ThSe4
_chemical_formula_sum 'Rb4 Na4 Th2 Se8'
_symmetry_space_group_name_H-M 'C 1 2/m 1'
_symmetry_Int_Tables_number 12
_symmetry_space_group_name_Hall '-C 2y'
_cell_length_a 16.7727
_cell_length_b 4.5116
_cell_length_c 8.3984
_cell_angle_alpha 90.00
_cell_angle_beta 112.56
_cell_angle_gamma 90.00
loop_
_atom_site_label
_atom_site_type_symbol
_atom_site_fract_x
_atom_site_fract_y
_atom_site_fract_z
Rb1 Rb 0.1402 0.0000 0.0518
Na1 Na 0.1796 0.5000 0.4737
Th1 Th 0.0000 0.0000 0.5000
Se1 Se 0.0032 0.5000 0.2692
Se2 Se 0.1898 0.0000 0.6796
```

## Properties
- size of the total moment (μB/atom) = 0.000

---

DFT (PBE-GGA) results for crystalline Rb2NaTl2Se4 at its relaxed geometry.

Cell and atoms, written as CIF:
```
data_Rb2NaTl2Se4
_chemical_formula_sum 'Rb4 Na2 Tl4 Se8'
_symmetry_space_group_name_H-M 'C 1 2/m 1'
_symmetry_Int_Tables_number 12
_symmetry_space_group_name_Hall '-C 2y'
_cell_length_a 16.6712
_cell_length_b 4.7891
_cell_length_c 7.9469
_cell_angle_alpha 90.00
_cell_angle_beta 106.52
_cell_angle_gamma 90.00
loop_
_atom_site_label
_atom_site_type_symbol
_atom_site_fract_x
_atom_site_fract_y
_atom_site_fract_z
Rb1 Rb 0.1214 0.0000 0.0464
Na1 Na 0.0000 0.0000 0.5000
Tl1 Tl 0.1598 0.5000 0.5097
Se1 Se 0.0180 0.5000 0.2523
Se2 Se 0.2111 0.0000 0.6909
```

## Properties
- size of the total moment (μB/atom) = 0.000

---

DFT (PBE-GGA) results for crystalline RbNa3U2Se6 at its relaxed geometry.

Cell and atoms, written as CIF:
```
data_RbNa3U2Se6
_chemical_formula_sum 'Rb2 Na6 U4 Se12'
_symmetry_space_group_name_H-M 'C 1 2/m 1'
_symmetry_Int_Tables_number 12
_symmetry_space_group_name_Hall '-C 2y'
_cell_length_a 18.4443
_cell_length_b 4.2443
_cell_length_c 8.9988
_cell_angle_alpha 90.00
_cell_angle_beta 101.06
_cell_angle_gamma 90.00
loop_
_atom_site_label
_atom_site_type_symbol
_atom_site_fract_x
_atom_site_fract_y
_atom_site_fract_z
Rb1 Rb 0.0000 0.0000 0.0000
Na1 Na 0.0000 0.0000 0.5000
Na2 Na 0.1566 0.5000 0.8232
U1 U 0.1667 0.5000 0.3374
Se1 Se 0.0171 0.5000 0.2851
Se2 Se 0.1736 0.0000 0.5630
Se3 Se 0.1809 0.0000 0.1308
```

## Properties
- size of the total moment (μB/atom) = 0.333

---

DFT (PBE-GGA) results for crystalline Rb3NaU3Se8 at its relaxed geometry.

Cell and atoms, written as CIF:
```
data_Rb3NaU3Se8
_chemical_formula_sum 'Rb6 Na2 U6 Se16'
_symmetry_space_group_name_H-M 'C 1 2/m 1'
_symmetry_Int_Tables_number 12
_symmetry_space_group_name_Hall '-C 2y'
_cell_length_a 14.6939
_cell_length_b 8.5240
_cell_length_c 9.4983
_cell_angle_alpha 90.00
_cell_angle_beta 121.63
_cell_angle_gamma 90.00
loop_
_atom_site_label
_atom_site_type_symbol
_atom_site_fract_x
_atom_site_fract_y
_atom_site_fract_z
Rb1 Rb 0.0000 0.0000 0.0000
Rb2 Rb 0.2500 0.2500 0.0000
Na1 Na 0.0000 0.5000 0.5000
U1 U 0.0000 0.0000 0.5000
U2 U 0.2500 0.2500 0.5000
Se1 Se 0.0242 0.2336 0.3119
Se2 Se 0.2318 0.0000 0.6918
Se3 Se 0.2396 0.5000 0.6912
```

## Properties
- size of the total moment (μB/atom) = 0.400

---

DFT (PBE-GGA) results for crystalline RbNa2USe4 at its relaxed geometry.

Cell and atoms, written as CIF:
```
data_RbNa2USe4
_chemical_formula_sum 'Rb2 Na4 U2 Se8'
_symmetry_space_group_name_H-M 'I -4 2 m'
_symmetry_Int_Tables_number 121
_symmetry_space_group_name_Hall 'I -4 2'
_cell_length_a 7.8013
_cell_length_b 7.8013
_cell_length_c 8.9661
_cell_angle_alpha 90.00
_cell_angle_beta 90.00
_cell_angle_gamma 90.00
loop_
_atom_site_label
_atom_site_type_symbol
_atom_site_fract_x
_atom_site_fract_y
_atom_site_fract_z
Rb1 Rb 0.0000 0.0000 0.0000
Na1 Na 0.0000 0.5000 0.2500
U1 U 0.0000 0.0000 0.5000
Se1 Se 0.2053 0.2053 0.6519
```

## Properties
- size of the total moment (μB/atom) = 0.125

---

DFT (PBE-GGA) results for crystalline Rb2NaU2Se6 at its relaxed geometry.

Cell and atoms, written as CIF:
```
data_Rb2NaU2Se6
_chemical_formula_sum 'Rb4 Na2 U4 Se12'
_symmetry_space_group_name_H-M 'C 1 2/m 1'
_symmetry_Int_Tables_number 12
_symmetry_space_group_name_Hall '-C 2y'
_cell_length_a 7.2804
_cell_length_b 12.7918
_cell_length_c 8.4014
_cell_angle_alpha 90.00
_cell_angle_beta 105.32
_cell_angle_gamma 90.00
loop_
_atom_site_label
_atom_site_type_symbol
_atom_site_fract_x
_atom_site_fract_y
_atom_site_fract_z
Rb1 Rb 0.0000 0.1572 0.0000
Na1 Na 0.0000 0.0000 0.5000
U1 U 0.0000 0.3347 0.5000
Se1 Se 0.1952 0.5000 0.6924
Se2 Se 0.2378 0.1823 0.6905
```

## Properties
- size of the total moment (μB/atom) = 0.273

---

DFT (PBE-GGA) results for crystalline Rb2Na3USe6 at its relaxed geometry.

Cell and atoms, written as CIF:
```
data_Rb2Na3USe6
_chemical_formula_sum 'Rb4 Na6 U2 Se12'
_symmetry_space_group_name_H-M 'C 1 2/m 1'
_symmetry_Int_Tables_number 12
_symmetry_space_group_name_Hall '-C 2y'
_cell_length_a 8.5309
_cell_length_b 13.8134
_cell_length_c 7.0218
_cell_angle_alpha 90.00
_cell_angle_beta 118.48
_cell_angle_gamma 90.00
loop_
_atom_site_label
_atom_site_type_symbol
_atom_site_fract_x
_atom_site_fract_y
_atom_site_fract_z
Rb1 Rb 0.0000 0.1582 0.0000
Na1 Na 0.0000 0.0000 0.5000
Na2 Na 0.0000 0.3061 0.5000
U1 U 0.0000 0.5000 0.0000
Se1 Se 0.1383 0.5000 0.7157
Se2 Se 0.2302 0.3593 0.2471
```

## Properties
- size of the total moment (μB/atom) = 0.000

---

DFT (PBE-GGA) results for crystalline Rb2Na2USe4 at its relaxed geometry.

Cell and atoms, written as CIF:
```
data_Rb2Na2USe4
_chemical_formula_sum 'Rb4 Na4 U2 Se8'
_symmetry_space_group_name_H-M 'C 1 2/m 1'
_symmetry_Int_Tables_number 12
_symmetry_space_group_name_Hall '-C 2y'
_cell_length_a 16.5363
_cell_length_b 4.4613
_cell_length_c 8.3238
_cell_angle_alpha 90.00
_cell_angle_beta 112.17
_cell_angle_gamma 90.00
loop_
_atom_site_label
_atom_site_type_symbol
_atom_site_fract_x
_atom_site_fract_y
_atom_site_fract_z
Rb1 Rb 0.1383 0.0000 0.0520
Na1 Na 0.1787 0.5000 0.4728
U1 U 0.0000 0.0000 0.5000
Se1 Se 0.0012 0.5000 0.2728
Se2 Se 0.1871 0.0000 0.6794
```

## Properties
- size of the total moment (μB/atom) = 0.222

---

DFT (PBE-GGA) results for crystalline Rb2Na3WSe6 at its relaxed geometry.

Cell and atoms, written as CIF:
```
data_Rb2Na3WSe6
_chemical_formula_sum 'Rb4 Na6 W2 Se12'
_symmetry_space_group_name_H-M 'C 1 2/m 1'
_symmetry_Int_Tables_number 12
_symmetry_space_group_name_Hall '-C 2y'
_cell_length_a 8.5936
_cell_length_b 13.7591
_cell_length_c 6.4850
_cell_angle_alpha 90.00
_cell_angle_beta 119.51
_cell_angle_gamma 90.00
loop_
_atom_site_label
_atom_site_type_symbol
_atom_site_fract_x
_atom_site_fract_y
_atom_site_fract_z
Rb1 Rb 0.0000 0.1574 0.0000
Na1 Na 0.0000 0.0000 0.5000
Na2 Na 0.0000 0.3004 0.5000
W1 W 0.0000 0.5000 0.0000
Se1 Se 0.1242 0.5000 0.7121
Se2 Se 0.2213 0.3651 0.2499
```

## Properties
- size of the total moment (μB/atom) = 0.043

---

DFT (PBE-GGA) results for crystalline Rb2NaWSe4 at its relaxed geometry.

Cell and atoms, written as CIF:
```
data_Rb2NaWSe4
_chemical_formula_sum 'Rb16 Na8 W8 Se32'
_symmetry_space_group_name_H-M 'F d d d'
_symmetry_Int_Tables_number 70
_cell_length_a 6.5795
_cell_length_b 13.9921
_cell_length_c 25.4885
_cell_angle_alpha 90.00
_cell_angle_beta 90.00
_cell_angle_gamma 90.00
loop_
_symmetry_equiv_pos_as_xyz
'x,y,z'
'-x,-y,-z'
'-x+1/4,-y+1/4,z'
'x+1/4,y+1/4,-z'
'x,-y+1/4,-z+1/4'
'-x,y+1/4,z+1/4'
'-x+1/4,y,-z+1/4'
'x+1/4,-y,z+1/4'
'x,y+1/2,z+1/2'
'-x,-y+1/2,-z+1/2'
'-x+1/4,-y+3/4,z+1/2'
'x+1/4,y+3/4,-z+1/2'
'x,-y+3/4,-z+3/4'
'-x,y+3/4,z+3/4'
'-x+1/4,y+1/2,-z+3/4'
'x+1/4,-y+1/2,z+3/4'
'x+1/2,y,z+1/2'
'-x+1/2,-y,-z+1/2'
'-x+3/4,-y+1/4,z+1/2'
'x+3/4,y+1/4,-z+1/2'
'x+1/2,-y+1/4,-z+3/4'
'-x+1/2,y+1/4,z+3/4'
'-x+3/4,y,-z+3/4'
'x+3/4,-y,z+3/4'
'x+1/2,y+1/2,z'
'-x+1/2,-y+1/2,-z'
'-x+3/4,-y+3/4,z'
'x+3/4,y+3/4,-z'
'x+1/2,-y+3/4,-z+1/4'
'-x+1/2,y+3/4,z+1/4'
'-x+3/4,y+1/2,-z+1/4'
'x+3/4,-y+1/2,z+1/4'
loop_
_atom_site_label
_atom_site_type_symbol
_atom_site_fract_x
_atom_site_fract_y
_atom_site_fract_z
Rb1 Rb 0.1250 0.1250 0.3074
Na1 Na 0.1250 0.1250 0.1250
W1 W 0.1250 0.1250 0.6250
Se1 Se 0.0750 0.2729 0.8200
```

## Properties
- size of the total moment (μB/atom) = 0.127

---

DFT (PBE-GGA) results for crystalline Rb3Na2WSe6 at its relaxed geometry.

Cell and atoms, written as CIF:
```
data_Rb3Na2WSe6
_chemical_formula_sum 'Rb6 Na4 W2 Se12'
_symmetry_space_group_name_H-M 'C 1 2/m 1'
_symmetry_Int_Tables_number 12
_symmetry_space_group_name_Hall '-C 2y'
_cell_length_a 7.4864
_cell_length_b 12.8962
_cell_length_c 8.0576
_cell_angle_alpha 90.00
_cell_angle_beta 107.84
_cell_angle_gamma 90.00
loop_
_atom_site_label
_atom_site_type_symbol
_atom_site_fract_x
_atom_site_fract_y
_atom_site_fract_z
Rb1 Rb 0.0000 0.0000 0.0000
Rb2 Rb 0.0000 0.3205 0.0000
Na1 Na 0.0000 0.1652 0.5000
W1 W 0.0000 0.5000 0.5000
Se1 Se 0.2053 0.3579 0.6863
Se2 Se 0.2126 0.5000 0.3072
```

## Properties
- size of the total moment (μB/atom) = 0.074

---

DFT (PBE-GGA) results for crystalline Rb2NaZr3Se8 at its relaxed geometry.

Cell and atoms, written as CIF:
```
data_Rb2NaZr3Se8
_chemical_formula_sum 'Rb6 Na3 Zr9 Se24'
_symmetry_space_group_name_H-M 'R 3 m'
_symmetry_Int_Tables_number 160
_symmetry_space_group_name_Hall 'R 3 -2"'
_cell_length_a 7.9438
_cell_length_b 7.9438
_cell_length_c 25.3422
_cell_angle_alpha 90.00
_cell_angle_beta 90.00
_cell_angle_gamma 120.00
loop_
_atom_site_label
_atom_site_type_symbol
_atom_site_fract_x
_atom_site_fract_y
_atom_site_fract_z
Rb1 Rb 0.0000 0.0000 0.0000
Rb2 Rb 0.0000 0.0000 0.3499
Na1 Na 0.0000 0.0000 0.6061
Zr1 Zr 0.9999 0.5000 0.4944
Se1 Se 0.0000 0.0000 0.2218
Se2 Se 0.0000 0.0000 0.7655
Se3 Se 0.0125 0.5062 0.7717
Se4 Se 0.1814 0.3627 0.5573
```

## Properties
- size of the total moment (μB/atom) = 0.000

---

DFT (PBE-GGA) results for crystalline Rb2Na2Si at its relaxed geometry.

Cell and atoms, written as CIF:
```
data_Rb2Na2Si
_chemical_formula_sum 'Rb4 Na4 Si2'
_symmetry_space_group_name_H-M 'P 4/m b m'
_symmetry_Int_Tables_number 127
_symmetry_space_group_name_Hall '-P 4 2ab'
_cell_length_a 8.0314
_cell_length_b 8.0314
_cell_length_c 6.3955
_cell_angle_alpha 90.00
_cell_angle_beta 90.00
_cell_angle_gamma 90.00
loop_
_atom_site_label
_atom_site_type_symbol
_atom_site_fract_x
_atom_site_fract_y
_atom_site_fract_z
Rb1 Rb 0.1923 0.3077 0.0000
Na1 Na 0.1719 0.6719 0.5000
Si1 Si 0.0000 0.0000 0.5000
```

## Properties
- size of the total moment (μB/atom) = 0.000

---

DFT (PBE-GGA) results for crystalline RbNa3Si at its relaxed geometry.

Cell and atoms, written as CIF:
```
data_RbNa3Si
_chemical_formula_sum 'Rb1 Na3 Si1'
_symmetry_space_group_name_H-M 'P m -3 m'
_symmetry_Int_Tables_number 221
_symmetry_space_group_name_Hall '-P 4 2 3'
_cell_length_a 5.9946
_cell_length_b 5.9946
_cell_length_c 5.9946
_cell_angle_alpha 90.00
_cell_angle_beta 90.00
_cell_angle_gamma 90.00
loop_
_atom_site_label
_atom_site_type_symbol
_atom_site_fract_x
_atom_site_fract_y
_atom_site_fract_z
Rb1 Rb 0.0000 0.0000 0.0000
Na1 Na 0.0000 0.0000 0.5000
Si1 Si 0.5000 0.5000 0.5000
```

## Properties
- size of the total moment (μB/atom) = 0.076
- offset from the most stable computed form (meV/atom) = 899.0

---

DFT (PBE-GGA) results for crystalline RbNa2Si2 at its relaxed geometry.

Cell and atoms, written as CIF:
```
data_RbNa2Si2
_chemical_formula_sum 'Rb2 Na4 Si4'
_symmetry_space_group_name_H-M 'I 4/m m m'
_symmetry_Int_Tables_number 139
_symmetry_space_group_name_Hall '-I 4 2'
_cell_length_a 5.4491
_cell_length_b 5.4491
_cell_length_c 10.1511
_cell_angle_alpha 90.00
_cell_angle_beta 90.00
_cell_angle_gamma 90.00
loop_
_atom_site_label
_atom_site_type_symbol
_atom_site_fract_x
_atom_site_fract_y
_atom_site_fract_z
Rb1 Rb 0.0000 0.0000 0.0000
Na1 Na 0.0000 0.5000 0.2500
Si1 Si 0.0000 0.0000 0.3913
```

## Properties
- size of the total moment (μB/atom) = 0.000
- offset from the most stable computed form (meV/atom) = 0.0

---

DFT (PBE-GGA) results for crystalline Rb7NaSi8 at its relaxed geometry.

Cell and atoms, written as CIF:
```
data_Rb7NaSi8
_chemical_formula_sum 'Rb28 Na4 Si32'
_symmetry_space_group_name_H-M 'P a -3'
_symmetry_Int_Tables_number 205
_symmetry_space_group_name_Hall '-P 2ac 2ab 3'
_cell_length_a 13.1470
_cell_length_b 13.1470
_cell_length_c 13.1470
_cell_angle_alpha 90.00
_cell_angle_beta 90.00
_cell_angle_gamma 90.00
loop_
_atom_site_label
_atom_site_type_symbol
_atom_site_fract_x
_atom_site_fract_y
_atom_site_fract_z
Rb1 Rb 0.0000 0.0000 0.0000
Rb2 Rb 0.0422 0.2268 0.3125
Na1 Na 0.0000 0.0000 0.5000
Si1 Si 0.0611 0.7015 0.9232
Si2 Si 0.1983 0.6983 0.8017
```

## Properties
- size of the total moment (μB/atom) = 0.000

---

DFT (PBE-GGA) results for crystalline RbNa2Si2 at its relaxed geometry.

Cell and atoms, written as CIF:
```
data_RbNa2Si2
_chemical_formula_sum 'Rb2 Na4 Si4'
_symmetry_space_group_name_H-M 'P 4/m b m'
_symmetry_Int_Tables_number 127
_symmetry_space_group_name_Hall '-P 4 2ab'
_cell_length_a 8.7228
_cell_length_b 8.7228
_cell_length_c 3.5960
_cell_angle_alpha 90.00
_cell_angle_beta 90.00
_cell_angle_gamma 90.00
loop_
_atom_site_label
_atom_site_type_symbol
_atom_site_fract_x
_atom_site_fract_y
_atom_site_fract_z
Rb1 Rb 0.0000 0.0000 0.0000
Na1 Na 0.1857 0.3143 0.5000
Si1 Si 0.0956 0.5956 0.0000
```

## Properties
- size of the total moment (μB/atom) = 0.000
- offset from the most stable computed form (meV/atom) = 130.5

---

| no. | ΔE_f (raw) (eV per atom) | D(E_F) (states/eV per cell) |
| --- | --- | --- |
| 1 | -1.537 | 19.88 |
| 2 | -1.500 | 0.00 |
| 3 | -1.360 | 0.00 |
| 4 | -0.708 | 5.29 |
| 5 | -1.173 | 26.74 |
| 6 | -1.245 | 26.10 |
| 7 | -0.973 | 13.65 |
| 8 | -1.242 | 18.59 |
| 9 | -1.037 | 7.61 |
| 10 | -1.143 | 8.52 |
| 11 | -0.701 | 8.96 |
| 12 | -0.761 | 28.50 |
| 13 | -0.703 | 30.36 |
| 14 | -1.180 | 19.81 |
| 15 | 0.243 | 2.26 |
| 16 | 1.002 | 4.03 |
| 17 | 0.105 | 3.46 |
| 18 | -0.057 | 0.00 |
| 19 | 0.235 | 3.09 |